Entry from the Alexandria database: Cu2NiF after structural relaxation (PBE+U).

```
Cu2NiF
1.0
6.5710 0.0000 0.0000
0.0000 6.5710 0.0000
0.0000 0.0000 4.7180
Cu Ni F
8 4 4
Cartesian
1.3626 1.6427 0.5898 Cu
1.6427 4.6480 1.7693 Cu
1.6427 5.2084 4.1283 Cu
1.9229 1.6427 2.9488 Cu
4.6480 4.9282 2.9488 Cu
4.9282 1.3626 4.1283 Cu
4.9282 1.9229 1.7693 Cu
5.2084 4.9282 0.5898 Cu
0.0000 0.0000 2.3590 Ni
0.0000 3.2855 3.5385 Ni
3.2855 0.0000 1.1795 Ni
3.2855 3.2855 0.0000 Ni
0.0000 0.0000 0.0000 F
0.0000 3.2855 1.1795 F
3.2855 0.0000 3.5385 F
3.2855 3.2855 2.3590 F
```

## Properties
The volume comes out at 12.73 Å³/atom. As for the crystal system: tetragonal. The calculation puts the total energy at -3.055 eV/atom. The density of states at the Fermi level comes out at 0.520 states/eV per atom.